This record from Alexandria describes a relaxed K2TbCd2O4 crystal. The functional is GGA-PBE.

extended XYZ file:
```
9
Lattice="-1.1378 -2.5378 -2.1110 6.9514 2.1619 -3.4581 -4.2798 -5.2977 8.6756" Properties=species:S:1:pos:R:3 pbc="T T T"
K 1.8867 -3.3811 0.1602
K -0.3529 -2.2926 2.9463
Tb 0.0000 0.0000 0.0000
Cd -0.2967 -4.5114 5.5834
Cd 1.8305 -1.1623 -2.4769
O -0.6731 -4.9444 3.4193
O 2.2069 -0.7292 -0.3128
O -0.8158 -2.1764 0.1685
O 2.3496 -3.4973 2.9379
```

Computed properties:
VASP energy, eV/atom: -4.867
Theoretical density, Mg/m³: 5.0
ΔE_f (raw), eV/atom: -1.702
Total magnetic moment, μB per cell: 0.000